No. 1
Entry from Alexandria: a crystal of IrPdSN2 relaxed with PBEsol (meta-GGA SCAN).

Properties
Uncorrected formation energy in kJ per mole of atoms: 191

Unit cell a=3.6838 b=3.6838 c=5.0570 alpha=90.00 beta=90.00 gamma=90.00
Fractional coordinates of all 5 atoms:
1 Ir 0.0000 0.0000 0.0000
2 Pd 0.5000 0.5000 0.5000
3 S 0.5000 0.5000 0.0000
4 N 0.0000 0.5000 0.5000
5 N 0.5000 0.0000 0.5000


No. 2
Entry from Alexandria: a crystal of IrPt3N relaxed with PBEsol (meta-GGA SCAN).

Properties
Uncorrected formation energy in kJ per mole of atoms: 229

Unit cell a=4.7879 b=4.7879 c=4.7879 alpha=90.00 beta=90.00 gamma=90.00
Fractional coordinates of all 5 atoms:
1 Ir 0.0000 0.0000 0.0000
2 Pt 0.0000 0.0000 0.5000
3 Pt 0.0000 0.5000 0.0000
4 Pt 0.5000 0.0000 0.0000
5 N 0.5000 0.5000 0.5000


No. 3
Entry from Alexandria: a crystal of Rb3IrN relaxed with PBEsol (meta-GGA SCAN).

Properties
Uncorrected formation energy in kJ per mole of atoms: 136

Unit cell a=6.1059 b=6.1059 c=6.1059 alpha=90.00 beta=90.00 gamma=90.00
Fractional coordinates of all 5 atoms:
1 Rb 0.0000 0.0000 0.5000
2 Rb 0.0000 0.5000 0.0000
3 Rb 0.5000 0.0000 0.0000
4 Ir 0.0000 0.0000 0.0000
5 N 0.5000 0.5000 0.5000


Please write out number 3 again, unchanged.
Entry from Alexandria: a crystal of Rb3IrN relaxed with PBEsol (meta-GGA SCAN).

Properties
Uncorrected formation energy in kJ per mole of atoms: 136

Unit cell a=6.1059 b=6.1059 c=6.1059 alpha=90.00 beta=90.00 gamma=90.00
Fractional coordinates of all 5 atoms:
1 Rb 0.0000 0.0000 0.5000
2 Rb 0.0000 0.5000 0.0000
3 Rb 0.5000 0.0000 0.0000
4 Ir 0.0000 0.0000 0.0000
5 N 0.5000 0.5000 0.5000


The lowest uncorrected formation energy belongs to which entry?
Rb3IrN